[1]
The following is a DFT calculation (GGA-PBE) of K2PrAlF8 after structural relaxation.

Cell: 4.9258 6.9559 5.9766 Å, 90.00 91.82 90.00°
With the nearest neighbours (Å) after each atom.
Space group P2/m (No. 10)
Inequivalent atoms, fractional coordinates:
1 K 0.0000 0.2227 0.0000 (multiplicity 2)  6 F 2.55-2.68
2 Pr 0.5000 0.5000 0.5000 (multiplicity 1)  6 F 2.26-2.40
3 Al 0.5000 0.0000 0.5000 (multiplicity 1)  6 F 1.76-1.91
4 F 0.1377 0.5000 0.2580 (multiplicity 2)  1 Pr 2.26
5 F 0.2165 0.0000 0.3121 (multiplicity 2)  1 Al 1.76
6 F 0.3573 0.2062 0.6713 (multiplicity 4)  1 Al 1.91

Properties
Its formation energy from raw total energies is -3.414 eV per atom. As for the total magnetic moment: 0.011 μB per atom. The calculated total energy is -5.555 eV/atom.

---

[2]
The following is a DFT calculation (GGA-PBE) of Sm6P2CCl3 after structural relaxation.

Cell: 18.0685 3.9415 8.3757 Å, 90.00 106.48 90.00°
With the nearest neighbours (Å) after each atom.
Space group C2/m (No. 12)
Inequivalent atoms, fractional coordinates:
1 Sm 0.0055 0.0000 0.2045 (multiplicity 4)  2 C 2.59, 1 P 2.78
2 Sm 0.1443 0.5000 0.0869 (multiplicity 4)  1 C 2.50, 2 P 2.76
3 Sm 0.1737 0.5000 0.5584 (multiplicity 4)  3 P 2.74-2.79, 3 Cl 3.04-3.06
4 P 0.1656 0.0000 0.3265 (multiplicity 4)  6 Sm 2.74-2.79
5 C 0.0000 0.5000 0.0000 (multiplicity 2)  6 Sm 2.50-2.59
6 Cl 0.0000 0.5000 0.5000 (multiplicity 2)  6 Sm 3.04-3.19
7 Cl 0.1651 0.0000 0.8315 (multiplicity 4)  6 Sm 3.01-3.31

Properties
Its formation energy from raw total energies is -1.411 eV per atom. As for the total magnetic moment: 0.000 μB per atom. The calculated total energy is -5.902 eV/atom.

---

[3]
The following is a DFT calculation (GGA-PBE) of SiTe2As after structural relaxation.

Cell: 7.1583 7.1583 7.1583 Å, 90.00 90.00 90.00°
With the nearest neighbours (Å) after each atom.
Space group Fm-3m (No. 225)
Inequivalent atoms, fractional coordinates:
1 Si 0.0000 0.0000 0.0000 (multiplicity 4)  8 Te 3.10
2 Te 0.2500 0.2500 0.2500 (multiplicity 8)  4 As 3.10, 4 Si 3.10
3 As 0.0000 0.0000 0.5000 (multiplicity 4)  8 Te 3.10

Properties
Its formation energy from raw total energies is 0.492 eV per atom. As for the total magnetic moment: 0.000 μB per atom. The calculated total energy is -3.597 eV/atom.